Entry 1:
First-principles (PBE-GGA) data for a relaxed KOs2RuO8 crystal, as listed in the Alexandria database.

```
KOs2RuO8
1.0
5.2658 0.0000 0.0000
-2.6329 4.5604 0.0000
0.0000 0.0000 8.3443
K Os Ru O
1 2 1 8
Direct
0.0000 0.0000 0.0000
0.3333 0.6667 0.7208
0.6667 0.3333 0.2792
0.0000 0.0000 0.5000
0.0338 0.3241 0.6418
0.2904 0.9662 0.6418
0.3241 0.2904 0.3582
0.3333 0.6667 0.9329
0.6667 0.3333 0.0671
0.6759 0.7096 0.6418
0.7096 0.0338 0.3582
0.9662 0.6759 0.3582
```

Raw total energy ... -7.006 eV/atom
ΔE_f (raw) ... -0.964 eV/atom
Density of states at the Fermi level ... 0.83 states/eV per atom
M_tot ... 0.02 μB per cell

Entry 2:
First-principles (PBE-GGA) data for a relaxed KOsRuO6 crystal, as listed in the Alexandria database.

```
KOsRuO6
1.0
-3.5770 3.6317 5.1223
3.5770 -3.6317 5.1223
3.5770 3.6317 -5.1223
K Os Ru O
2 2 2 12
Direct
0.3695 0.1195 0.2500
0.6305 0.8805 0.7500
0.0000 0.5000 0.5000
0.5000 0.5000 0.0000
0.0000 0.0000 0.5000
0.0000 0.5000 0.0000
0.0631 0.4315 0.2523
0.0631 0.8108 0.6316
0.0643 0.8143 0.2500
0.3186 0.5686 0.7500
0.3208 0.1892 0.7523
0.3208 0.5685 0.1316
0.6792 0.4315 0.8684
0.6792 0.8108 0.2477
0.6814 0.4314 0.2500
0.9357 0.1857 0.7500
0.9369 0.1892 0.3684
0.9369 0.5685 0.7477
```

Raw total energy ... -6.837 eV/atom
ΔE_f (raw) ... -1.131 eV/atom
Density of states at the Fermi level ... 0.56 states/eV per atom
M_tot ... 0.00 μB per cell

Entry 3:
First-principles (PBE-GGA) data for a relaxed K2SbOsO6 crystal, as listed in the Alexandria database.

```
K2SbOsO6
1.0
0.0000 4.0112 4.0112
4.0112 0.0000 4.0112
4.0112 4.0112 0.0000
K Sb Os O
2 1 1 6
Direct
0.2500 0.2500 0.2500
0.7500 0.7500 0.7500
0.0000 0.0000 0.0000
0.5000 0.5000 0.5000
0.2526 0.2526 0.7474
0.2526 0.7474 0.2526
0.2526 0.7474 0.7474
0.7474 0.2526 0.2526
0.7474 0.2526 0.7474
0.7474 0.7474 0.2526
```

Raw total energy ... -5.998 eV/atom
ΔE_f (raw) ... -1.269 eV/atom
Density of states at the Fermi level ... 0.28 states/eV per atom
M_tot ... 2.90 μB per cell